# 1
Material: KAgSnCl4
Method: DFT, GGA-PBE
State: optimized geometry

## Properties
- formation energy without anion corrections (eV/atom) = -1.0904
- crystal system = monoclinic

a b c (Å): 7.4200 7.7809 8.5211
angles (deg): 90.00 107.26 90.00
Closest atoms and distances in Å follow each position.
Space group P2_1/m (No. 11)
Symmetry-distinct sites (fractional):
K 0.2103 0.2500 0.0351 (multiplicity 2)  6 Cl 3.06-3.31
Ag 0.2592 0.7500 0.3160 (multiplicity 2)  4 Cl 2.57-2.68
Sn 0.1885 0.2500 0.5146 (multiplicity 2)  4 Cl 2.59-2.83
Cl 0.0258 0.0059 0.2664 (multiplicity 4)  1 Ag 2.59, 1 Sn 2.83
Cl 0.4712 0.2500 0.3945 (multiplicity 2)  1 Sn 2.59, 1 Ag 2.68
Cl 0.4706 0.2500 0.8161 (multiplicity 2)  1 Ag 2.57, 1 Sn 2.79

=====

# 2
Material: HgSb
Method: DFT, GGA-PBE
State: optimized geometry

## Properties
- formation energy without anion corrections (eV/atom) = 0.0905
- crystal system = orthorhombic

a b c (Å): 4.0105 5.8798 14.8406
angles (deg): 90.00 90.00 90.00
Closest atoms and distances in Å follow each position.
Space group Immm (No. 71)
Symmetry-distinct sites (fractional):
Hg 0.0000 0.0000 0.0000 (multiplicity 2)  2 Sb 2.94
Hg 0.0000 0.5000 0.3214 (multiplicity 4)  4 Sb 2.96-3.18
Sb 0.0000 0.0000 0.3452 (multiplicity 4)  4 Hg 2.96-3.18, 2 Sb 3.05
Sb 0.0000 0.5000 0.0000 (multiplicity 2)  2 Hg 2.94, 4 Sb 3.05

=====

# 3
Material: Ac8In2Ag
Method: DFT, GGA-PBE
State: optimized geometry

## Properties
- DFT formation energy (eV/atom) = -0.1697
- crystal system = monoclinic

a b c (Å): 20.5319 5.6554 7.5507
angles (deg): 90.00 102.17 90.00
Closest atoms and distances in Å follow each position.
Space group C2/m (No. 12)
Symmetry-distinct sites (fractional):
Ac 0.0192 0.0000 0.2704 (multiplicity 4)  2 Ag 3.38, 1 In 3.49, 1 Ac 3.72
Ac 0.0926 0.5000 0.9617 (multiplicity 4)  1 Ag 3.60, 6 Ac 3.81-4.01, 2 In 3.83
Ac 0.1544 0.5000 0.4737 (multiplicity 4)  1 Ag 3.22, 3 In 3.44-3.48
Ac 0.2073 0.0000 0.8057 (multiplicity 4)  3 In 3.44-3.63, 2 Ac 3.78
In 0.1872 0.0000 0.2469 (multiplicity 4)  9 Ac 3.44-3.83
Ag 0.0000 0.5000 0.5000 (multiplicity 2)  8 Ac 3.22-3.60

=====

# 4
Material: SiIF2
Method: DFT, GGA-PBE
State: optimized geometry

## Properties
- formation energy without anion corrections (eV/atom) = -0.3708
- crystal system = cubic

a b c (Å): 6.4279 6.4279 6.4279
angles (deg): 90.00 90.00 90.00
Closest atoms and distances in Å follow each position.
Space group Fm-3m (No. 225)
Symmetry-distinct sites (fractional):
Si 0.0000 0.0000 0.0000 (multiplicity 4)  8 F 2.78
I 0.0000 0.0000 0.5000 (multiplicity 4)  8 F 2.78
F 0.2500 0.2500 0.2500 (multiplicity 8)  4 I 2.78, 4 Si 2.78

=====

# 5
Material: CdSnPb2N
Method: DFT, GGA-PBE
State: optimized geometry

## Properties
- formation energy without anion corrections (eV/atom) = 1.6073
- crystal system = tetragonal

a b c (Å): 5.8676 5.8676 5.2797
angles (deg): 90.00 90.00 90.00
Closest atoms and distances in Å follow each position.
Space group P4/mmm (No. 123)
Symmetry-distinct sites (fractional):
Cd 0.0000 0.0000 0.0000 (multiplicity 1)  2 Sn 2.64
Sn 0.0000 0.0000 0.5000 (multiplicity 1)  2 Cd 2.64, 4 Pb 2.93
Pb 0.0000 0.5000 0.5000 (multiplicity 2)  2 Sn 2.93
N 0.5000 0.5000 0.0000 (multiplicity 1)  8 Pb 3.95, 4 Cd 4.15

=====

# 6
Material: Ac6Si2SnSe3
Method: DFT, GGA-PBE
State: optimized geometry

## Properties
- formation energy without anion corrections (eV/atom) = -1.2539
- crystal system = monoclinic

a b c (Å): 20.0177 4.5872 9.2214
angles (deg): 90.00 102.76 90.00
Closest atoms and distances in Å follow each position.
Space group C2/m (No. 12)
Symmetry-distinct sites (fractional):
Ac 0.0040 0.0000 0.2579 (multiplicity 4)  1 Si 3.18, 3 Se 3.21-3.32, 2 Sn 3.29
Ac 0.1691 0.5000 0.0964 (multiplicity 4)  2 Si 3.18, 3 Se 3.22-3.33, 1 Sn 3.30
Ac 0.1707 0.5000 0.5759 (multiplicity 4)  3 Si 3.17-3.18, 3 Se 3.31-3.33
Si 0.1670 0.0000 0.3350 (multiplicity 4)  6 Ac 3.17-3.18
Sn 0.0000 0.5000 0.0000 (multiplicity 2)  6 Ac 3.29-3.30
Se 0.0000 0.5000 0.5000 (multiplicity 2)  6 Ac 3.21-3.33
Se 0.1660 0.0000 0.8326 (multiplicity 4)  6 Ac 3.22-3.33

=====

# 7
Material: Y2TiRhO
Method: DFT, GGA-PBE
State: optimized geometry

## Properties
- formation energy without anion corrections (eV/atom) = -1.3428
- crystal system = tetragonal

a b c (Å): 4.8279 4.8279 3.9369
angles (deg): 90.00 90.00 90.00
Closest atoms and distances in Å follow each position.
Space group P4/mmm (No. 123)
Symmetry-distinct sites (fractional):
Y 0.0000 0.5000 0.0000 (multiplicity 2)  2 O 2.41
Ti 0.0000 0.0000 0.5000 (multiplicity 1)  2 O 1.97
Rh 0.5000 0.5000 0.5000 (multiplicity 1)  8 Y 3.11, 4 Ti 3.41
O 0.0000 0.0000 0.0000 (multiplicity 1)  2 Ti 1.97

=====

# 8
Material: Li3TiGe
Method: DFT, GGA-PBE
State: optimized geometry

## Properties
- DFT formation energy (eV/atom) = 1.0654
- crystal system = cubic

a b c (Å): 4.8667 4.8667 4.8667
angles (deg): 90.00 90.00 90.00
Closest atoms and distances in Å follow each position.
Space group Pm-3m (No. 221)
Symmetry-distinct sites (fractional):
Li 0.0000 0.0000 0.5000 (multiplicity 3)  2 Ti 2.43
Ti 0.0000 0.0000 0.0000 (multiplicity 1)  6 Li 2.43
Ge 0.5000 0.5000 0.5000 (multiplicity 1)  12 Li 3.44

=====

| no. | DFT total energy (eV/atom) | N(E_F) (states/eV per cell) |
| --- | --- | --- |
| 1 | -3.2816 | 0.00 |
| 2 | -2.1216 | 5.75 |
| 3 | -3.9147 | 22.90 |
| 4 | -3.0498 | 23.34 |
| 5 | -2.5247 | 6.82 |
| 6 | -5.4167 | 6.87 |
| 7 | -7.9693 | 4.98 |
| 8 | -2.5853 | 5.19 |